Material: NaNClF2
Method: DFT, PBE-GGA
State: optimized geometry

Output
As for the distance to the lowest polymorph of the same formula: 0.485 eV per atom. For the formation energy (no corrections), the calculation gives 0.312 eV/atom. Its space-group type is P4/mmm (123).

Structure (POSCAR):
```
NaNClF2
1.0
4.092 0.000 0.000
0.000 4.092 0.000
0.000 0.000 5.881
Na N Cl F
1 1 1 2
Direct
0.000 0.000 0.000
0.000 0.000 0.500
0.500 0.500 0.500
0.000 0.500 0.000
0.500 0.000 0.000
```